(1)
Density functional theory data (PBE) for crystalline Ca2ZrSi at its relaxed geometry.

Unit cell a=4.6941 b=3.4612 c=6.8547 alpha=63.71 beta=90.00 gamma=90.00
With the nearest neighbours (Å) after each atom.
Sites, in units of the cell vectors:
Zr 0.5000 0.7500 0.7500  2 Si 3.08, 8 Ca 3.33-3.34
Si 0.5000 0.2500 0.2500  2 Zr 3.08, 8 Ca 3.14-3.38
Ca 0.0000 0.0230 0.0137  2 Ca 2.94-3.24, 2 Si 3.14
Ca 0.0000 0.4770 0.4863  2 Ca 2.94-3.24, 2 Si 3.14

(2)
Density functional theory data (PBE) for crystalline MgMnBe2 at its relaxed geometry.

Unit cell a=3.6962 b=3.6962 c=8.2842 alpha=77.11 beta=77.11 gamma=90.00
With the nearest neighbours (Å) after each atom.
Sites, in units of the cell vectors:
Be 0.8750 0.9892 0.7500  2 Be 2.10, 2 Mn 2.23
Be 0.0108 0.6250 0.2500  2 Be 2.10, 2 Mn 2.23
Mn 0.7500 0.2500 0.5000  4 Be 2.23
Mg 0.2500 0.7500 0.5000  4 Be 2.56, 4 Mn 2.61
Mg 0.5000 0.5000 0.0000  4 Be 2.56, 4 Mn 2.61
Mn 0.0000 0.0000 0.0000  4 Be 2.23
Be 0.3750 0.2608 0.7500  2 Be 2.10, 2 Mn 2.23
Be 0.7392 0.1250 0.2500  2 Be 2.10, 2 Mn 2.23

no.,E (eV/atom),total magnetization (μB per cell)
1,-4.386,0.00
2,-3.786,0.00